Entry 1:
Entry from Alexandria: a geometry-optimized Be2TlPt structure (PBE-GGA).

Cell and atoms, written as POSCAR:
```
Be2TlPt
1.0
-1.973 1.721 -3.519
1.103 -1.365 -4.020
-2.809 -2.420 -2.342
Be Tl Pt
2 1 1
direct
0.000 0.000 0.000
0.250 0.250 0.250
0.750 0.750 0.750
0.500 0.500 0.500
```

N(E_F) = 0.234 states/eV/atom
Distance to the lowest polymorph of the same formula = 0.533 eV/atom
Space group = F-43m, No. 216
Formation enthalpy at 0 K = 401 meV per atom


Entry 2:
Entry from Alexandria: a geometry-optimized Be3TlPt structure (PBE-GGA).

Cell and atoms, written as POSCAR:
```
Be3TlPt
1.0
-3.702 -2.036 -1.207
1.663 -3.832 1.364
-1.685 0.692 3.999
Be Tl Pt
3 1 1
direct
0.000 0.500 0.000
0.000 0.000 0.500
0.500 0.000 0.000
0.500 0.500 0.500
0.000 0.000 0.000
```

N(E_F) = 0.354 states/eV/atom
Distance to the lowest polymorph of the same formula = 0.000 eV/atom
Space group = Pm-3m, No. 221
Formation enthalpy at 0 K = 164 meV per atom


What is the distance to the lowest polymorph of the same formula in the first record? 0.533 eV/atom


What is the distance to the lowest polymorph of the same formula in the second record? 0.000 eV/atom